1.
A plane-wave DFT calculation with PBE-GGA was carried out for a relaxed structure of KTi2BePd.

The calculated volume is 27.651 A^3/atom. The raw total energy is -3.983 eV/atom.

The space group is P4/mmm (No. 123) and the conventional cell measures 4.861, 4.861 and 5.850 Å, with angles of 90.00, 90.00 and 90.00 degrees. The inequivalent atoms are K at (0.000, 0.000, 0.000), Ti at (0.000, 0.500, 0.500), Be at (0.500, 0.500, 0.000) and Pd at (0.000, 0.000, 0.500).

---

2.
A plane-wave DFT calculation with PBE-GGA was carried out for a relaxed structure of BaNaCd2Cu.

The calculated volume is 29.256 A^3/atom. As for the energy above the most stable polymorph in this dataset: 0.0 meV per atom. The raw total energy is -1.875 eV/atom.

The space group is P4/mmm (No. 123) and the conventional cell measures 5.205, 5.205 and 5.399 Å, with angles of 90.00, 90.00 and 90.00 degrees. The inequivalent atoms are Ba at (0.000, 0.000, 0.000), Na at (0.500, 0.500, 0.000), Cd at (0.000, 0.500, 0.500) and Cu at (0.500, 0.500, 0.500).

---

3.
A plane-wave DFT calculation with PBE-GGA was carried out for a relaxed structure of MgAl3I.

The calculated volume is 30.422 A^3/atom. As for the energy above the most stable polymorph in this dataset: 0.0 meV per atom. The calculation puts the formation energy (no corrections) at 634 meV per atom. The raw total energy is -2.241 eV/atom.

The space group is Pm-3m (No. 221) and the conventional cell measures 5.338, 5.338 and 5.338 Å, with angles of 90.00, 90.00 and 90.00 degrees. The inequivalent atoms are Mg at (0.000, 0.000, 0.000), Al at (0.000, 0.000, 0.500) and I at (0.500, 0.500, 0.500).

---

4.
A plane-wave DFT calculation with PBE-GGA was carried out for a relaxed structure of Li2ScW.

The calculated volume is 17.723 A^3/atom. As for the energy above the most stable polymorph in this dataset: 158.9 meV per atom. The raw total energy is -5.345 eV/atom.

The space group is Pm (No. 6) and the conventional cell measures 2.633, 4.674 and 5.837 Å, with angles of 90.00, 99.29 and 90.00 degrees. The inequivalent atoms are Li at (0.000, 0.000, 0.000), Li at (0.189, 0.500, 0.765), Sc at (0.832, 0.500, 0.297) and W at (0.434, 0.000, 0.502).